Density functional theory data (GGA-PBE) for a relaxed structure of Pr2Sn4PdRh3.

Values from the calculation:
Crystal system: tetragonal
V, Å³/f.u.: 221.9
Formation energy from the elements, eV/atom: -0.727

Structure (CIF):
```
data_Pr2Sn4PdRh3
_space_group_name_H-M_alt 'P -4 m 2'
_space_group_IT_number 115
_space_group_name_Hall 'P -4 -2'
_cell_length_a 4.600
_cell_length_b 4.600
_cell_length_c 10.487
_cell_angle_alpha 90.00
_cell_angle_beta 90.00
_cell_angle_gamma 90.00
loop_
_atom_site_label
_atom_site_type_symbol
_atom_site_fract_x
_atom_site_fract_y
_atom_site_fract_z
Pr1 Pr 0.000 0.500 0.248
Sn1 Sn 0.000 0.000 0.500
Sn2 Sn 0.000 0.500 0.872
Sn3 Sn 0.500 0.500 0.500
Pd1 Pd 0.500 0.500 0.000
Rh1 Rh 0.000 0.000 0.000
Rh2 Rh 0.000 0.500 0.627
```